#a
Entry from Alexandria: SnW2S2 after structural relaxation (PBE-GGA).

DOS at the Fermi energy (states/eV/f.u.): 2.56
Density (g cm⁻³): 10.5

CIF file:
```
data_SnW2S2
_cell_length_a 7.749
_cell_length_b 7.749
_cell_length_c 2.907
_cell_angle_alpha 90.00
_cell_angle_beta 90.00
_cell_angle_gamma 90.00
_symmetry_space_group_name_H-M 'P 4/m b m'
_symmetry_Int_Tables_number 127
_symmetry_space_group_name_Hall '-P 4 2ab'
loop_
_atom_site_label
_atom_site_fract_x
_atom_site_fract_y
_atom_site_fract_z
Sn1 0.000 0.000 0.000
W1 0.130 0.370 0.500
S1 0.131 0.631 0.000
```

=====

#b
Entry from Alexandria: SnW2S2 after structural relaxation (PBE-GGA).

DOS at the Fermi energy (states/eV/f.u.): 3.93
Density (g cm⁻³): 9.4

CIF file:
```
data_SnW2S2
_cell_length_a 4.001
_cell_length_b 4.001
_cell_length_c 12.148
_cell_angle_alpha 90.00
_cell_angle_beta 90.00
_cell_angle_gamma 90.00
_symmetry_space_group_name_H-M 'I 4/m m m'
_symmetry_Int_Tables_number 139
_symmetry_space_group_name_Hall '-I 4 2'
loop_
_atom_site_label
_atom_site_fract_x
_atom_site_fract_y
_atom_site_fract_z
Sn1 0.000 0.000 0.000
W1 0.000 0.500 0.250
S1 0.000 0.000 0.364
```

=====

Which one sits at the top of the stability order? #b does.

=====

#a
Entry from Alexandria: YSnS3 after structural relaxation (PBE-GGA).

DOS at the Fermi energy (states/eV/f.u.): 3.11
Density (g cm⁻³): 3.6

CIF file:
```
data_YSnS3
_cell_length_a 5.204
_cell_length_b 5.204
_cell_length_c 5.204
_cell_angle_alpha 90.00
_cell_angle_beta 90.00
_cell_angle_gamma 90.00
_symmetry_space_group_name_H-M 'P m -3 m'
_symmetry_Int_Tables_number 221
_symmetry_space_group_name_Hall '-P 4 2 3'
loop_
_atom_site_label
_atom_site_fract_x
_atom_site_fract_y
_atom_site_fract_z
Y1 0.000 0.000 0.000
Sn1 0.500 0.500 0.500
S1 0.000 0.000 0.500
```

=====

#b
Entry from Alexandria: YSnS3 after structural relaxation (PBE-GGA).

DOS at the Fermi energy (states/eV/f.u.): 3.55
Density (g cm⁻³): 4.0

CIF file:
```
data_YSnS3
_cell_length_a 6.8934
_cell_length_b 6.8934
_cell_length_c 18.4313
_cell_angle_alpha 90.00
_cell_angle_beta 90.00
_cell_angle_gamma 120.00
_symmetry_space_group_name_H-M 'R -3'
_symmetry_Int_Tables_number 148
_symmetry_space_group_name_Hall '-R 3'
loop_
_atom_site_label
_atom_site_fract_x
_atom_site_fract_y
_atom_site_fract_z
Y1 0.0000 0.0000 0.1491
Sn1 0.0000 0.0000 0.3511
S1 0.0018 0.3001 0.7487
```

=====

Which one sits at the top of the stability order? #b does.

=====

#a
Entry from Alexandria: ZnSn3S after structural relaxation (PBE-GGA).

DOS at the Fermi energy (states/eV/f.u.): 3.26
Density (g cm⁻³): 4.9

CIF file:
```
data_ZnSn3S
_cell_length_a 5.360
_cell_length_b 5.360
_cell_length_c 5.360
_cell_angle_alpha 90.00
_cell_angle_beta 90.00
_cell_angle_gamma 90.00
_symmetry_space_group_name_H-M 'P m -3 m'
_symmetry_Int_Tables_number 221
_symmetry_space_group_name_Hall '-P 4 2 3'
loop_
_atom_site_label
_atom_site_fract_x
_atom_site_fract_y
_atom_site_fract_z
Zn1 0.000 0.000 0.000
Sn1 0.000 0.500 0.500
S1 0.500 0.500 0.500
```

=====

#b
Entry from Alexandria: ZnSn3S after structural relaxation (PBE-GGA).

DOS at the Fermi energy (states/eV/f.u.): 3.42
Density (g cm⁻³): 5.4

CIF file:
```
data_ZnSn3S
_cell_length_a 5.201
_cell_length_b 5.201
_cell_length_c 5.201
_cell_angle_alpha 90.00
_cell_angle_beta 90.00
_cell_angle_gamma 90.00
_symmetry_space_group_name_H-M 'P m -3 m'
_symmetry_Int_Tables_number 221
_symmetry_space_group_name_Hall '-P 4 2 3'
loop_
_atom_site_label
_atom_site_fract_x
_atom_site_fract_y
_atom_site_fract_z
Zn1 0.000 0.000 0.000
Sn1 0.000 0.000 0.500
S1 0.500 0.500 0.500
```

=====

Which one sits at the top of the stability order? #a does.

=====

#a
Entry from Alexandria: Zn3SnS after structural relaxation (PBE-GGA).

DOS at the Fermi energy (states/eV/f.u.): 1.80
Density (g cm⁻³): 5.3

CIF file:
```
data_Zn3SnS
_cell_length_a 4.786
_cell_length_b 4.786
_cell_length_c 4.786
_cell_angle_alpha 90.00
_cell_angle_beta 90.00
_cell_angle_gamma 90.00
_symmetry_space_group_name_H-M 'P m -3 m'
_symmetry_Int_Tables_number 221
_symmetry_space_group_name_Hall '-P 4 2 3'
loop_
_atom_site_label
_atom_site_fract_x
_atom_site_fract_y
_atom_site_fract_z
Zn1 0.000 0.000 0.500
Sn1 0.500 0.500 0.500
S1 0.000 0.000 0.000
```

=====

#b
Entry from Alexandria: Zn3SnS after structural relaxation (PBE-GGA).

DOS at the Fermi energy (states/eV/f.u.): 6.73
Density (g cm⁻³): 4.4

CIF file:
```
data_Zn3SnS
_cell_length_a 5.070
_cell_length_b 5.070
_cell_length_c 5.070
_cell_angle_alpha 90.00
_cell_angle_beta 90.00
_cell_angle_gamma 90.00
_symmetry_space_group_name_H-M 'P m -3 m'
_symmetry_Int_Tables_number 221
_symmetry_space_group_name_Hall '-P 4 2 3'
loop_
_atom_site_label
_atom_site_fract_x
_atom_site_fract_y
_atom_site_fract_z
Zn1 0.000 0.000 0.500
Sn1 0.000 0.000 0.000
S1 0.500 0.500 0.500
```

=====

Which one sits at the top of the stability order? #a does.

=====

#a
Entry from Alexandria: Zr4SnS8 after structural relaxation (PBE-GGA).

DOS at the Fermi energy (states/eV/f.u.): 5.25
Density (g cm⁻³): 3.9

CIF file:
```
data_Zr4SnS8
_cell_length_a 7.2775
_cell_length_b 7.2775
_cell_length_c 20.8165
_cell_angle_alpha 90.00
_cell_angle_beta 90.00
_cell_angle_gamma 120.00
_symmetry_space_group_name_H-M 'R -3 m'
_symmetry_Int_Tables_number 166
_symmetry_space_group_name_Hall '-R 3 2"'
loop_
_atom_site_label
_atom_site_fract_x
_atom_site_fract_y
_atom_site_fract_z
Zr1 0.0000 0.0000 0.0000
Zr2 0.0000 0.5000 0.0000
Sn1 0.0000 0.0000 0.5000
S1 0.0000 0.0000 0.2621
S2 0.9995 0.4998 0.2589
```

=====

#b
Entry from Alexandria: Zr4SnS8 after structural relaxation (PBE-GGA).

DOS at the Fermi energy (states/eV/f.u.): 6.62
Density (g cm⁻³): 3.8

CIF file:
```
data_Zr4SnS8
_cell_length_a 10.874
_cell_length_b 10.874
_cell_length_c 10.874
_cell_angle_alpha 90.00
_cell_angle_beta 90.00
_cell_angle_gamma 90.00
_symmetry_space_group_name_H-M 'F -4 3 m'
_symmetry_Int_Tables_number 216
_symmetry_space_group_name_Hall 'F -4 2 3'
loop_
_atom_site_label
_atom_site_fract_x
_atom_site_fract_y
_atom_site_fract_z
Zr1 0.118 0.118 0.118
Sn1 0.000 0.000 0.500
S1 0.118 0.118 0.882
S2 0.140 0.140 0.360
```

=====

Which one sits at the top of the stability order? #a does.

=====

#a
Entry from Alexandria: ZrSnS4 after structural relaxation (PBE-GGA).

DOS at the Fermi energy (states/eV/f.u.): 0.03
Density (g cm⁻³): 3.5

CIF file:
```
data_ZrSnS4
_cell_length_a 14.639
_cell_length_b 3.678
_cell_length_c 6.489
_cell_angle_alpha 90.00
_cell_angle_beta 115.01
_cell_angle_gamma 90.00
_symmetry_space_group_name_H-M 'C 1 2/m 1'
_symmetry_Int_Tables_number 12
loop_
_symmetry_equiv_pos_as_xyz
'x,y,z'
'-x,-y,-z'
'-x,y,-z'
'x,-y,z'
'x+1/2,y+1/2,z'
'-x+1/2,-y+1/2,-z'
'-x+1/2,y+1/2,-z'
'x+1/2,-y+1/2,z'
loop_
_atom_site_label
_atom_site_fract_x
_atom_site_fract_y
_atom_site_fract_z
Zr1 0.000 0.000 0.000
Sn1 0.000 0.500 0.500
S1 0.111 0.000 0.444
S2 0.111 0.500 0.945
```

=====

#b
Entry from Alexandria: ZrSnS4 after structural relaxation (PBE-GGA).

DOS at the Fermi energy (states/eV/f.u.): 0.11
Density (g cm⁻³): 3.5

CIF file:
```
data_ZrSnS4
_cell_length_a 16.636
_cell_length_b 5.038
_cell_length_c 8.057
_cell_angle_alpha 90.00
_cell_angle_beta 107.68
_cell_angle_gamma 90.00
_symmetry_space_group_name_H-M 'C 1 2/m 1'
_symmetry_Int_Tables_number 12
loop_
_symmetry_equiv_pos_as_xyz
'x,y,z'
'-x,-y,-z'
'-x,y,-z'
'x,-y,z'
'x+1/2,y+1/2,z'
'-x+1/2,-y+1/2,-z'
'-x+1/2,y+1/2,-z'
'x+1/2,-y+1/2,z'
loop_
_atom_site_label
_atom_site_fract_x
_atom_site_fract_y
_atom_site_fract_z
Zr1 0.203 0.000 0.295
Sn1 0.102 0.000 0.702
S1 0.064 0.000 0.376
S2 0.103 0.000 0.011
S3 0.148 0.500 0.732
S4 0.241 0.500 0.342
```

=====

Which one sits at the top of the stability order? #a does.

=====

#a
Entry from Alexandria: SrTa4S8 after structural relaxation (PBE-GGA).

DOS at the Fermi energy (states/eV/f.u.): 6.00
Density (g cm⁻³): 5.9

CIF file:
```
data_SrTa4S8
_cell_length_a 11.781
_cell_length_b 6.891
_cell_length_c 9.127
_cell_angle_alpha 90.00
_cell_angle_beta 126.32
_cell_angle_gamma 90.00
_symmetry_space_group_name_H-M 'C 1 2/m 1'
_symmetry_Int_Tables_number 12
loop_
_symmetry_equiv_pos_as_xyz
'x,y,z'
'-x,-y,-z'
'-x,y,-z'
'x,-y,z'
'x+1/2,y+1/2,z'
'-x+1/2,-y+1/2,-z'
'-x+1/2,y+1/2,-z'
'x+1/2,-y+1/2,z'
loop_
_atom_site_label
_atom_site_fract_x
_atom_site_fract_y
_atom_site_fract_z
Sr1 0.000 0.000 0.000
Ta1 0.000 0.291 0.500
Ta2 0.231 0.500 0.495
S1 0.002 0.000 0.325
S2 0.025 0.500 0.738
S3 0.238 0.253 0.293
```

=====

#b
Entry from Alexandria: SrTa4S8 after structural relaxation (PBE-GGA).

Density (g cm⁻³): 6.3

CIF file:
```
data_SrTa4S8
_cell_length_a 10.398
_cell_length_b 10.398
_cell_length_c 10.398
_cell_angle_alpha 90.00
_cell_angle_beta 90.00
_cell_angle_gamma 90.00
_symmetry_space_group_name_H-M 'F -4 3 m'
_symmetry_Int_Tables_number 216
_symmetry_space_group_name_Hall 'F -4 2 3'
loop_
_atom_site_label
_atom_site_fract_x
_atom_site_fract_y
_atom_site_fract_z
Sr1 0.000 0.000 0.000
Ta1 0.106 0.106 0.394
S1 0.128 0.128 0.628
S2 0.148 0.148 0.148
```

=====

Which one sits at the top of the stability order? #a does.

=====

#a
Entry from Alexandria: Sr17Ta10S42 after structural relaxation (PBE-GGA).

DOS at the Fermi energy (states/eV/f.u.): 0.00
Density (g cm⁻³): 4.2

CIF file:
```
data_Sr17Ta10S42
_cell_length_a 12.330
_cell_length_b 12.343
_cell_length_c 12.392
_cell_angle_alpha 96.30
_cell_angle_beta 95.96
_cell_angle_gamma 96.43
_symmetry_space_group_name_H-M 'P 1'
_symmetry_Int_Tables_number 1
loop_
_symmetry_equiv_pos_as_xyz
'x,y,z'
loop_
_atom_site_label
_atom_site_fract_x
_atom_site_fract_y
_atom_site_fract_z
Sr1 0.000 0.000 0.000
Sr2 0.003 0.869 0.630
Sr3 0.210 0.974 0.354
Sr4 0.230 0.636 0.145
Sr5 0.240 0.500 0.766
Sr6 0.327 0.343 0.343
Sr7 0.346 0.220 0.986
Sr8 0.369 0.869 0.774
Sr9 0.545 0.316 0.669
Sr10 0.569 0.963 0.476
Sr11 0.582 0.850 0.118
Sr12 0.670 0.535 0.305
Sr13 0.684 0.684 0.688
Sr14 0.706 0.205 0.101
Sr15 0.866 0.635 0.011
Sr16 0.903 0.173 0.441
Sr17 0.915 0.320 0.820
Ta1 0.013 0.309 0.120
Ta2 0.179 0.147 0.622
Ta3 0.299 0.935 0.071
Ta4 0.347 0.646 0.449
Ta5 0.485 0.123 0.259
Ta6 0.513 0.487 0.946
Ta7 0.677 0.988 0.781
Ta8 0.811 0.439 0.560
Ta9 0.848 0.811 0.282
Ta10 0.986 0.619 0.756
S1 0.008 0.438 0.647
S2 0.009 0.122 0.679
S3 0.067 0.554 0.919
S4 0.092 0.240 0.972
S5 0.134 0.431 0.235
S6 0.136 0.855 0.129
S7 0.152 0.711 0.715
S8 0.153 0.202 0.452
S9 0.202 0.727 0.384
S10 0.222 0.994 0.910
S11 0.235 0.976 0.600
S12 0.280 0.122 0.187
S13 0.291 0.497 0.532
S14 0.304 0.267 0.739
S15 0.341 0.465 0.001
S16 0.359 0.773 0.994
S17 0.413 0.916 0.260
S18 0.423 0.578 0.298
S19 0.448 0.162 0.441
S20 0.468 0.767 0.573
S21 0.488 0.049 0.051
S22 0.490 0.547 0.778
S23 0.522 0.304 0.214
S24 0.529 0.065 0.712
S25 0.571 0.318 0.921
S26 0.609 0.843 0.864
S27 0.627 0.482 0.527
S28 0.631 0.606 0.072
S29 0.668 0.079 0.294
S30 0.678 0.785 0.341
S31 0.758 0.922 0.633
S32 0.763 0.259 0.610
S33 0.797 0.512 0.785
S34 0.800 0.107 0.901
S35 0.827 0.867 0.111
S36 0.839 0.390 0.383
S37 0.865 0.392 0.057
S38 0.880 0.641 0.573
S39 0.905 0.644 0.260
S40 0.921 0.783 0.837
S41 0.943 0.159 0.196
S42 0.967 0.936 0.403
```

=====

#b
Entry from Alexandria: Sr17Ta10S42 after structural relaxation (PBE-GGA).

DOS at the Fermi energy (states/eV/f.u.): 0.00
Density (g cm⁻³): 4.2

CIF file:
```
data_Sr17Ta10S42
_cell_length_a 12.335
_cell_length_b 12.368
_cell_length_c 12.376
_cell_angle_alpha 96.16
_cell_angle_beta 96.42
_cell_angle_gamma 96.24
_symmetry_space_group_name_H-M 'P 1'
_symmetry_Int_Tables_number 1
loop_
_symmetry_equiv_pos_as_xyz
'x,y,z'
loop_
_atom_site_label
_atom_site_fract_x
_atom_site_fract_y
_atom_site_fract_z
Sr1 0.000 0.000 0.000
Sr2 0.001 0.873 0.628
Sr3 0.050 0.555 0.447
Sr4 0.215 0.986 0.349
Sr5 0.220 0.636 0.128
Sr6 0.240 0.503 0.759
Sr7 0.332 0.343 0.332
Sr8 0.348 0.221 0.979
Sr9 0.363 0.865 0.766
Sr10 0.537 0.310 0.665
Sr11 0.571 0.965 0.470
Sr12 0.584 0.844 0.112
Sr13 0.677 0.540 0.297
Sr14 0.682 0.685 0.686
Sr15 0.710 0.207 0.095
Sr16 0.902 0.173 0.438
Sr17 0.919 0.320 0.816
Ta1 0.013 0.310 0.117
Ta2 0.176 0.150 0.616
Ta3 0.301 0.937 0.065
Ta4 0.353 0.649 0.438
Ta5 0.490 0.124 0.252
Ta6 0.514 0.488 0.942
Ta7 0.674 0.988 0.776
Ta8 0.801 0.436 0.563
Ta9 0.852 0.814 0.278
Ta10 0.981 0.624 0.761
S1 0.007 0.125 0.674
S2 0.009 0.432 0.636
S3 0.072 0.555 0.908
S4 0.094 0.242 0.971
S5 0.133 0.436 0.236
S6 0.141 0.861 0.127
S7 0.144 0.700 0.683
S8 0.153 0.210 0.448
S9 0.207 0.731 0.373
S10 0.223 0.996 0.904
S11 0.233 0.980 0.594
S12 0.282 0.127 0.179
S13 0.288 0.501 0.518
S14 0.302 0.270 0.734
S15 0.341 0.466 0.995
S16 0.357 0.774 0.987
S17 0.416 0.919 0.255
S18 0.427 0.581 0.288
S19 0.445 0.161 0.434
S20 0.471 0.768 0.565
S21 0.491 0.050 0.048
S22 0.491 0.546 0.771
S23 0.525 0.063 0.705
S24 0.527 0.306 0.209
S25 0.572 0.318 0.917
S26 0.606 0.844 0.858
S27 0.620 0.477 0.519
S28 0.631 0.604 0.065
S29 0.672 0.086 0.294
S30 0.681 0.788 0.337
S31 0.756 0.920 0.630
S32 0.757 0.256 0.606
S33 0.800 0.106 0.895
S34 0.802 0.510 0.767
S35 0.828 0.876 0.112
S36 0.842 0.393 0.382
S37 0.869 0.391 0.052
S38 0.873 0.643 0.564
S39 0.911 0.647 0.260
S40 0.930 0.788 0.833
S41 0.943 0.160 0.194
S42 0.971 0.940 0.399
```

=====

Which one sits at the top of the stability order? #b does.